Material: RbV2Bi
Method: DFT, GGA-PBE
State: relaxed

Cell lengths 8.7883, 8.7883, 7.1409 Å; angles 52.02, 52.02, 90.00 degrees
With the nearest neighbours (Å) after each atom.
Element x y z (fractional)
Bi (0.0000, 0.0000, 0.0000)  4 V 2.79
Bi (0.7500, 0.2500, 0.5000)  4 V 2.79
Rb (0.5000, 0.5000, 0.0000)  2 Bi 3.52, 8 V 3.74-3.75
Rb (0.2500, 0.7500, 0.5000)  2 Bi 3.52, 8 V 3.74-3.75
V (0.7067, 0.1250, 0.2500)  2 Bi 2.79
V (0.0433, 0.6250, 0.2500)  2 Bi 2.79
V (0.3750, 0.2933, 0.7500)  2 Bi 2.79
V (0.8750, 0.9567, 0.7500)  2 Bi 2.79

Computed properties:
Symmetry: I-42d
Density in g/cm³: 4.8
Energy of formation from the pure elements in meV/atom: 1130

Material: RbV2Bi2
Method: DFT, GGA-PBE
State: relaxed

Cell lengths 3.6358, 3.6358, 10.3315 Å; angles 79.87, 79.87, 90.00 degrees
With the nearest neighbours (Å) after each atom.
Element x y z (fractional)
Bi (0.3610, 0.3610, 0.2779)  4 V 2.87
Bi (0.6390, 0.6390, 0.7221)  4 V 2.87
Rb (0.0000, 0.0000, 0.0000)  4 Rb 3.64, 8 Bi 3.79
V (0.7500, 0.2500, 0.5000)  4 V 2.57, 4 Bi 2.87
V (0.2500, 0.7500, 0.5000)  4 V 2.57, 4 Bi 2.87

Computed properties:
Symmetry: I4/mmm
Density in g/cm³: 7.6
Energy of formation from the pure elements in meV/atom: 110